Entry 1:
DFT (GGA-PBE) results for a geometry-optimized Cd3InPt12 structure.

The density of states at the Fermi level is 15.0 states/eV per cell. The value obtained for the final energy is -81.7 eV/f.u. The calculation puts the calculated formation energy at -3.8 eV/f.u.

The space group is P4/mmm (No. 123) and the conventional cell measures 4.059, 4.059 and 16.029 Å, with angles of 90.00, 90.00 and 90.00 degrees. Symmetry generates all atoms from Cd at (0.000, 0.000, 0.000), Cd at (0.000, 0.000, 0.250), In at (0.000, 0.000, 0.500), Pt at (0.000, 0.500, 0.125), Pt at (0.000, 0.500, 0.375), Pt at (0.500, 0.500, 0.000), Pt at (0.500, 0.500, 0.250) and Pt at (0.500, 0.500, 0.500).

Entry 2:
DFT (GGA-PBE) results for a geometry-optimized CdIn2Pt structure.

The density of states at the Fermi level is 11.7 states/eV per cell. The value obtained for the final energy is -12.5 eV/f.u. The calculation puts the calculated formation energy at -0.1 eV/f.u.

The space group is F-43m (No. 216) and the conventional cell measures 6.975, 6.975 and 6.975 Å, with angles of 90.00, 90.00 and 90.00 degrees. Symmetry generates all atoms from Cd at (0.000, 0.000, 0.000), In at (0.000, 0.000, 0.500), In at (0.250, 0.250, 0.750) and Pt at (0.250, 0.250, 0.250).

Entry 3:
DFT (GGA-PBE) results for a geometry-optimized CdInPt2 structure.

The density of states at the Fermi level is 3.6 states/eV per cell. The value obtained for the final energy is -17.0 eV/f.u. The calculation puts the calculated formation energy at -1.2 eV/f.u.

The space group is I-4m2 (No. 119) and the conventional cell measures 4.001, 4.001 and 8.967 Å, with angles of 90.00, 90.00 and 90.00 degrees. Symmetry generates all atoms from Cd at (0.000, 0.000, 0.000), In at (0.000, 0.500, 0.250), Pt at (0.000, 0.000, 0.500) and Pt at (0.000, 0.500, 0.750).

> Among the records above, which one has the lowest final energy?

Cd3InPt12

> The highest calculated formation energy belongs to which entry?

CdIn2Pt

Repeat the second record exactly.
DFT (GGA-PBE) results for a geometry-optimized CdIn2Pt structure.

The density of states at the Fermi level is 11.7 states/eV per cell. The value obtained for the final energy is -12.5 eV/f.u. The calculation puts the calculated formation energy at -0.1 eV/f.u.

The space group is F-43m (No. 216) and the conventional cell measures 6.975, 6.975 and 6.975 Å, with angles of 90.00, 90.00 and 90.00 degrees. Symmetry generates all atoms from Cd at (0.000, 0.000, 0.000), In at (0.000, 0.000, 0.500), In at (0.250, 0.250, 0.750) and Pt at (0.250, 0.250, 0.250).

> Which of these has the lowest final energy?

Cd3InPt12